Computed, not measured: a geometry-optimized In2SiPb structure at the PBE level of DFT.

It has space group Cmm2 (No. 35), with a = 4.2166 Å, b = 5.0867 Å, c = 9.6228 Å, α = 90.00°, β = 90.00° and γ = 90.00°. The distinct sites, in fractional coordinates, are In at (0.0000, 0.0000, 0.0000), In at (0.0000, 0.5000, 0.2657), Si at (0.0000, 0.5000, 0.7897) and Pb at (0.0000, 0.0000, 0.5556).

The calculation puts the density of states at the Fermi level at 3.3 states/eV per cell. The total magnetization is 0.00 μB/cell. Its volume is 206 Å³/cell. Its raw total energy is -3.379 eV/atom. The relative energy among the computed polymorphs is 38 meV/atom.